a:
# LiMo2Os | Alexandria via LeMat-Bulk | PBE | optimized geometry
# **Crystal system**: orthorhombic
# **Space-group type**: Cmmm, No. 65
# **Total magnetization**: 0.0 Bohr magnetons per cell
data_LiMo2Os
_space_group_name_H-M_alt 'P 1'
_space_group_IT_number 1
_cell_length_a 2.671
_cell_length_b 2.671
_cell_length_c 9.480
_cell_angle_alpha 90.00
_cell_angle_beta 90.00
_cell_angle_gamma 112.71
loop_
_space_group_symop_operation_xyz
'x,y,z'
loop_
_atom_site_label
_atom_site_type_symbol
_atom_site_fract_x
_atom_site_fract_y
_atom_site_fract_z
Li1 Li 0.000 0.000 0.000
Mo1 Mo 0.500 0.500 0.260
Mo2 Mo 0.500 0.500 0.740
Os1 Os 0.000 0.000 0.500

---

b:
# LiMo2Os | Alexandria via LeMat-Bulk | PBE | optimized geometry
# **Crystal system**: tetragonal
# **Space-group type**: P4/mmm, No. 123
# **Total magnetization**: 0.0 Bohr magnetons per cell
data_LiMo2Os
_space_group_name_H-M_alt 'P 1'
_space_group_IT_number 1
_cell_length_a 3.885
_cell_length_b 3.885
_cell_length_c 3.834
_cell_angle_alpha 90.00
_cell_angle_beta 90.00
_cell_angle_gamma 90.00
loop_
_space_group_symop_operation_xyz
'x,y,z'
loop_
_atom_site_label
_atom_site_type_symbol
_atom_site_fract_x
_atom_site_fract_y
_atom_site_fract_z
Li1 Li 0.000 0.000 0.000
Mo1 Mo 0.000 0.500 0.500
Mo2 Mo 0.500 0.000 0.500
Os1 Os 0.500 0.500 0.000

---

Which of them is the most stable, and which is the least stable? b and a, in that order.

---

a:
# LiMo2Os | Alexandria via LeMat-Bulk | PBE | optimized geometry
# **Crystal system**: cubic
# **Space-group type**: Fm-3m, No. 225
# **Total magnetization**: 0.0 Bohr magnetons per cell
data_LiMo2Os
_space_group_name_H-M_alt 'P 1'
_space_group_IT_number 1
_cell_length_a 4.350
_cell_length_b 4.350
_cell_length_c 4.350
_cell_angle_alpha 60.00
_cell_angle_beta 60.00
_cell_angle_gamma 60.00
loop_
_space_group_symop_operation_xyz
'x,y,z'
loop_
_atom_site_label
_atom_site_type_symbol
_atom_site_fract_x
_atom_site_fract_y
_atom_site_fract_z
Li1 Li 0.000 0.000 0.000
Mo1 Mo 0.250 0.250 0.250
Mo2 Mo 0.750 0.750 0.750
Os1 Os 0.500 0.500 0.500

---

b:
# LiMo2Os | Alexandria via LeMat-Bulk | PBE | optimized geometry
# **Crystal system**: monoclinic
# **Space-group type**: P2/m, No. 10
# **Total magnetization**: 0.0 Bohr magnetons per cell
data_LiMo2Os
_space_group_name_H-M_alt 'P 1'
_space_group_IT_number 1
_cell_length_a 2.644
_cell_length_b 4.368
_cell_length_c 5.180
_cell_angle_alpha 90.00
_cell_angle_beta 101.89
_cell_angle_gamma 90.00
loop_
_space_group_symop_operation_xyz
'x,y,z'
loop_
_atom_site_label
_atom_site_type_symbol
_atom_site_fract_x
_atom_site_fract_y
_atom_site_fract_z
Li1 Li 0.000 0.000 0.000
Mo1 Mo 0.246 0.500 0.753
Mo2 Mo 0.754 0.500 0.247
Os1 Os 0.500 0.000 0.500

---

c:
# LiMo2Os | Alexandria via LeMat-Bulk | PBE | optimized geometry
# **Crystal system**: tetragonal
# **Space-group type**: P4mm, No. 99
# **Total magnetization**: 0.0 Bohr magnetons per cell
data_LiMo2Os
_space_group_name_H-M_alt 'P 1'
_space_group_IT_number 1
_cell_length_a 2.760
_cell_length_b 2.760
_cell_length_c 7.927
_cell_angle_alpha 90.00
_cell_angle_beta 90.00
_cell_angle_gamma 90.00
loop_
_space_group_symop_operation_xyz
'x,y,z'
loop_
_atom_site_label
_atom_site_type_symbol
_atom_site_fract_x
_atom_site_fract_y
_atom_site_fract_z
Li1 Li 0.000 0.000 0.000
Mo1 Mo 0.000 0.000 0.538
Mo2 Mo 0.500 0.500 0.266
Os1 Os 0.500 0.500 0.766

---

Which of them is the most stable, and which is the least stable? b and c, in that order.

---

a:
# LiMo2Os | Alexandria via LeMat-Bulk | PBE | optimized geometry
# **Crystal system**: monoclinic
# **Space-group type**: C2/m, No. 12
# **Total magnetization**: 0.0 Bohr magnetons per cell
data_LiMo2Os
_space_group_name_H-M_alt 'P 1'
_space_group_IT_number 1
_cell_length_a 5.112
_cell_length_b 5.112
_cell_length_c 2.646
_cell_angle_alpha 98.31
_cell_angle_beta 98.31
_cell_angle_gamma 117.86
loop_
_space_group_symop_operation_xyz
'x,y,z'
loop_
_atom_site_label
_atom_site_type_symbol
_atom_site_fract_x
_atom_site_fract_y
_atom_site_fract_z
Li1 Li 0.000 0.000 0.000
Mo1 Mo 0.000 0.500 0.500
Mo2 Mo 0.500 0.000 0.500
Os1 Os 0.500 0.500 0.000

---

b:
# LiMo2Os | Alexandria via LeMat-Bulk | PBE | optimized geometry
# **Crystal system**: orthorhombic
# **Space-group type**: Cmm2, No. 35
# **Total magnetization**: 0.0 Bohr magnetons per cell
data_LiMo2Os
_space_group_name_H-M_alt 'P 1'
_space_group_IT_number 1
_cell_length_a 2.671
_cell_length_b 2.671
_cell_length_c 9.178
_cell_angle_alpha 90.00
_cell_angle_beta 90.00
_cell_angle_gamma 110.64
loop_
_space_group_symop_operation_xyz
'x,y,z'
loop_
_atom_site_label
_atom_site_type_symbol
_atom_site_fract_x
_atom_site_fract_y
_atom_site_fract_z
Li1 Li 0.000 0.000 0.000
Mo1 Mo 0.000 0.000 0.484
Mo2 Mo 0.500 0.500 0.732
Os1 Os 0.500 0.500 0.243

---

Which of them is the most stable, and which is the least stable? a and b, in that order.

---

a:
# LiMo2Os | Alexandria via LeMat-Bulk | PBE | optimized geometry
# **Crystal system**: orthorhombic
# **Space-group type**: Immm, No. 71
# **Total magnetization**: 0.0 Bohr magnetons per cell
data_LiMo2Os
_space_group_name_H-M_alt 'P 1'
_space_group_IT_number 1
_cell_length_a 5.146
_cell_length_b 5.146
_cell_length_c 5.146
_cell_angle_alpha 145.39
_cell_angle_beta 130.46
_cell_angle_gamma 61.84
loop_
_space_group_symop_operation_xyz
'x,y,z'
loop_
_atom_site_label
_atom_site_type_symbol
_atom_site_fract_x
_atom_site_fract_y
_atom_site_fract_z
Li1 Li 0.000 0.000 0.000
Mo1 Mo 0.258 0.758 0.500
Mo2 Mo 0.742 0.242 0.500
Os1 Os 0.500 0.500 0.000

---

b:
# LiMo2Os | Alexandria via LeMat-Bulk | PBE | optimized geometry
# **Crystal system**: orthorhombic
# **Space-group type**: Pmmm, No. 47
# **Total magnetization**: 0.0 Bohr magnetons per cell
data_LiMo2Os
_space_group_name_H-M_alt 'P 1'
_space_group_IT_number 1
_cell_length_a 2.747
_cell_length_b 4.008
_cell_length_c 5.300
_cell_angle_alpha 90.00
_cell_angle_beta 90.00
_cell_angle_gamma 90.00
loop_
_space_group_symop_operation_xyz
'x,y,z'
loop_
_atom_site_label
_atom_site_type_symbol
_atom_site_fract_x
_atom_site_fract_y
_atom_site_fract_z
Li1 Li 0.000 0.000 0.000
Mo1 Mo 0.500 0.500 0.252
Mo2 Mo 0.500 0.500 0.748
Os1 Os 0.000 0.000 0.500

---

c:
# LiMo2Os | Alexandria via LeMat-Bulk | PBE | optimized geometry
# **Crystal system**: tetragonal
# **Space-group type**: I-42d, No. 122
# **Total magnetization**: 0.0 Bohr magnetons per cell
data_LiMo2Os
_space_group_name_H-M_alt 'P 1'
_space_group_IT_number 1
_cell_length_a 5.703
_cell_length_b 5.703
_cell_length_c 5.703
_cell_angle_alpha 101.87
_cell_angle_beta 101.87
_cell_angle_gamma 126.07
loop_
_space_group_symop_operation_xyz
'x,y,z'
loop_
_atom_site_label
_atom_site_type_symbol
_atom_site_fract_x
_atom_site_fract_y
_atom_site_fract_z
Li1 Li 0.000 0.000 0.000
Li2 Li 0.750 0.250 0.500
Mo1 Mo 0.159 0.625 0.034
Mo2 Mo 0.375 0.409 0.534
Mo3 Mo 0.591 0.125 0.966
Mo4 Mo 0.875 0.841 0.466
Os1 Os 0.250 0.750 0.500
Os2 Os 0.500 0.500 0.000

---

d:
# LiMo2Os | Alexandria via LeMat-Bulk | PBE | optimized geometry
# **Crystal system**: orthorhombic
# **Space-group type**: Cmmm, No. 65
# **Total magnetization**: 0.0 Bohr magnetons per cell
data_LiMo2Os
_space_group_name_H-M_alt 'P 1'
_space_group_IT_number 1
_cell_length_a 4.868
_cell_length_b 4.868
_cell_length_c 2.713
_cell_angle_alpha 90.00
_cell_angle_beta 90.00
_cell_angle_gamma 114.12
loop_
_space_group_symop_operation_xyz
'x,y,z'
loop_
_atom_site_label
_atom_site_type_symbol
_atom_site_fract_x
_atom_site_fract_y
_atom_site_fract_z
Li1 Li 0.000 0.000 0.000
Mo1 Mo 0.000 0.500 0.500
Mo2 Mo 0.500 0.000 0.500
Os1 Os 0.500 0.500 0.000

---

Which of them is the most stable, and which is the least stable? a and c, in that order.

---

a:
# LiMoOs | Alexandria via LeMat-Bulk | PBE | optimized geometry
# **Crystal system**: orthorhombic
# **Space-group type**: Fmm2, No. 42
# **Total magnetization**: 0.0 Bohr magnetons per cell
data_LiMoOs
_space_group_name_H-M_alt 'P 1'
_space_group_IT_number 1
_cell_length_a 7.321
_cell_length_b 7.126
_cell_length_c 2.665
_cell_angle_alpha 83.51
_cell_angle_beta 75.29
_cell_angle_gamma 21.20
loop_
_space_group_symop_operation_xyz
'x,y,z'
loop_
_atom_site_label
_atom_site_type_symbol
_atom_site_fract_x
_atom_site_fract_y
_atom_site_fract_z
Li1 Li 0.000 0.000 0.000
Mo1 Mo 0.679 0.679 0.321
Os1 Os 0.337 0.337 0.663

---

b:
# LiMoOs | Alexandria via LeMat-Bulk | PBE | optimized geometry
# **Crystal system**: tetragonal
# **Space-group type**: I4mm, No. 107
# **Total magnetization**: 0.0 Bohr magnetons per cell
data_LiMoOs
_space_group_name_H-M_alt 'P 1'
_space_group_IT_number 1
_cell_length_a 4.870
_cell_length_b 4.870
_cell_length_c 4.870
_cell_angle_alpha 142.75
_cell_angle_beta 142.75
_cell_angle_gamma 53.70
loop_
_space_group_symop_operation_xyz
'x,y,z'
loop_
_atom_site_label
_atom_site_type_symbol
_atom_site_fract_x
_atom_site_fract_y
_atom_site_fract_z
Li1 Li 0.000 0.000 0.000
Mo1 Mo 0.679 0.679 0.000
Os1 Os 0.336 0.336 0.000

---

c:
# LiMoOs | Alexandria via LeMat-Bulk | PBE | optimized geometry
# **Crystal system**: orthorhombic
# **Space-group type**: Imm2, No. 44
# **Total magnetization**: 0.0 Bohr magnetons per cell
data_LiMoOs
_space_group_name_H-M_alt 'P 1'
_space_group_IT_number 1
_cell_length_a 4.508
_cell_length_b 4.508
_cell_length_c 4.508
_cell_angle_alpha 145.07
_cell_angle_beta 125.28
_cell_angle_gamma 66.59
loop_
_space_group_symop_operation_xyz
'x,y,z'
loop_
_atom_site_label
_atom_site_type_symbol
_atom_site_fract_x
_atom_site_fract_y
_atom_site_fract_z
Li1 Li 0.000 0.000 0.000
Mo1 Mo 0.330 0.330 0.000
Os1 Os 0.664 0.664 0.000

---

Which of them is the most stable, and which is the least stable? c and a, in that order.

---

a:
# LiMoOs | Alexandria via LeMat-Bulk | PBE | optimized geometry
# **Crystal system**: cubic
# **Space-group type**: F-43m, No. 216
# **Total magnetization**: 0.0 Bohr magnetons per cell
data_LiMoOs
_space_group_name_H-M_alt 'P 1'
_space_group_IT_number 1
_cell_length_a 4.149
_cell_length_b 4.149
_cell_length_c 4.149
_cell_angle_alpha 60.00
_cell_angle_beta 60.00
_cell_angle_gamma 60.00
loop_
_space_group_symop_operation_xyz
'x,y,z'
loop_
_atom_site_label
_atom_site_type_symbol
_atom_site_fract_x
_atom_site_fract_y
_atom_site_fract_z
Li1 Li 0.000 0.000 0.000
Mo1 Mo 0.500 0.500 0.500
Os1 Os 0.750 0.750 0.750

---

b:
# LiMoOs | Alexandria via LeMat-Bulk | PBE | optimized geometry
# **Crystal system**: trigonal
# **Space-group type**: P3m1, No. 156
# **Total magnetization**: 0.0 Bohr magnetons per cell
data_LiMoOs
_space_group_name_H-M_alt 'P 1'
_space_group_IT_number 1
_cell_length_a 4.334
_cell_length_b 4.334
_cell_length_c 2.612
_cell_angle_alpha 90.00
_cell_angle_beta 90.00
_cell_angle_gamma 120.00
loop_
_space_group_symop_operation_xyz
'x,y,z'
loop_
_atom_site_label
_atom_site_type_symbol
_atom_site_fract_x
_atom_site_fract_y
_atom_site_fract_z
Li1 Li 0.000 0.000 0.000
Mo1 Mo 0.333 0.667 0.364
Os1 Os 0.667 0.333 0.640

---

Which of them is the most stable, and which is the least stable? b and a, in that order.

---

a:
# Li2Mo2Os | Alexandria via LeMat-Bulk | PBE | optimized geometry
# **Crystal system**: tetragonal
# **Space-group type**: I4/mmm, No. 139
# **Total magnetization**: 0.0 Bohr magnetons per cell
data_Li2Mo2Os
_space_group_name_H-M_alt 'P 1'
_space_group_IT_number 1
_cell_length_a 5.694
_cell_length_b 5.694
_cell_length_c 5.694
_cell_angle_alpha 142.96
_cell_angle_beta 142.96
_cell_angle_gamma 53.39
loop_
_space_group_symop_operation_xyz
'x,y,z'
loop_
_atom_site_label
_atom_site_type_symbol
_atom_site_fract_x
_atom_site_fract_y
_atom_site_fract_z
Li1 Li 0.081 0.081 0.000
Li2 Li 0.919 0.919 0.000
Mo1 Mo 0.250 0.750 0.500
Mo2 Mo 0.750 0.250 0.500
Os1 Os 0.500 0.500 0.000

---

b:
# Li2Mo2Os | Alexandria via LeMat-Bulk | PBE | optimized geometry
# **Crystal system**: tetragonal
# **Space-group type**: P4/mbm, No. 127
# **Total magnetization**: 0.0 Bohr magnetons per cell
data_Li2Mo2Os
_space_group_name_H-M_alt 'P 1'
_space_group_IT_number 1
_cell_length_a 6.548
_cell_length_b 6.548
_cell_length_c 3.004
_cell_angle_alpha 90.00
_cell_angle_beta 90.00
_cell_angle_gamma 90.00
loop_
_space_group_symop_operation_xyz
'x,y,z'
loop_
_atom_site_label
_atom_site_type_symbol
_atom_site_fract_x
_atom_site_fract_y
_atom_site_fract_z
Li1 Li 0.115 0.385 0.000
Li2 Li 0.385 0.885 0.000
Li3 Li 0.615 0.115 0.000
Li4 Li 0.885 0.615 0.000
Mo1 Mo 0.186 0.686 0.500
Mo2 Mo 0.314 0.186 0.500
Mo3 Mo 0.686 0.814 0.500
Mo4 Mo 0.814 0.314 0.500
Os1 Os 0.000 0.000 0.000
Os2 Os 0.500 0.500 0.000

---

Which of them is the most stable, and which is the least stable? b and a, in that order.

---

a:
# LiMo2Os2 | Alexandria via LeMat-Bulk | PBE | optimized geometry
# **Crystal system**: tetragonal
# **Space-group type**: P4/mbm, No. 127
# **Total magnetization**: 0.0 Bohr magnetons per cell
data_LiMo2Os2
_space_group_name_H-M_alt 'P 1'
_space_group_IT_number 1
_cell_length_a 7.684
_cell_length_b 7.684
_cell_length_c 2.786
_cell_angle_alpha 90.00
_cell_angle_beta 90.00
_cell_angle_gamma 90.00
loop_
_space_group_symop_operation_xyz
'x,y,z'
loop_
_atom_site_label
_atom_site_type_symbol
_atom_site_fract_x
_atom_site_fract_y
_atom_site_fract_z
Li1 Li 0.000 0.000 0.000
Li2 Li 0.500 0.500 0.000
Mo1 Mo 0.150 0.350 0.000
Mo2 Mo 0.350 0.850 0.000
Mo3 Mo 0.650 0.150 0.000
Mo4 Mo 0.850 0.650 0.000
Os1 Os 0.143 0.643 0.500
Os2 Os 0.357 0.143 0.500
Os3 Os 0.643 0.857 0.500
Os4 Os 0.857 0.357 0.500

---

b:
# LiMo2Os2 | Alexandria via LeMat-Bulk | PBE | optimized geometry
# **Crystal system**: tetragonal
# **Space-group type**: P4/mbm, No. 127
# **Total magnetization**: 0.0 Bohr magnetons per cell
data_LiMo2Os2
_space_group_name_H-M_alt 'P 1'
_space_group_IT_number 1
_cell_length_a 7.623
_cell_length_b 7.623
_cell_length_c 2.817
_cell_angle_alpha 90.00
_cell_angle_beta 90.00
_cell_angle_gamma 90.00
loop_
_space_group_symop_operation_xyz
'x,y,z'
loop_
_atom_site_label
_atom_site_type_symbol
_atom_site_fract_x
_atom_site_fract_y
_atom_site_fract_z
Li1 Li 0.000 0.000 0.000
Li2 Li 0.500 0.500 0.000
Mo1 Mo 0.156 0.344 0.500
Mo2 Mo 0.344 0.844 0.500
Mo3 Mo 0.656 0.156 0.500
Mo4 Mo 0.844 0.656 0.500
Os1 Os 0.138 0.638 0.000
Os2 Os 0.362 0.138 0.000
Os3 Os 0.638 0.862 0.000
Os4 Os 0.862 0.362 0.000

---

Which of them is the most stable, and which is the least stable? b and a, in that order.